1.
DFT (PBE) results for a geometry-optimized SbRh2BrN structure.

a b c (Å): 4.5546 4.5546 5.7124
angles (deg): 90.00 90.00 90.00
With the nearest neighbours (Å) after each atom.
Space group P4/mmm (No. 123)
Inequivalent atoms, fractional coordinates:
Sb 0.0000 0.0000 0.0000 x1  2 Br 2.86
Rh 0.0000 0.5000 0.5000 x2  2 Br 2.28
Br 0.0000 0.0000 0.5000 x1  4 Rh 2.28
N 0.5000 0.5000 0.0000 x1  4 Sb 3.22

Calculated values
- Fermi-level density of states (states/eV per atom) = 1.13
- formation energy from raw total energies (meV/atom) = 2008
- calculated volume (Å³/atom) = 23.70
- total energy (Ha/atom) = -0.1381

2.
DFT (PBE) results for a geometry-optimized MnCdRe4 structure.

a b c (Å): 7.3893 7.3893 7.3893
angles (deg): 90.00 90.00 90.00
With the nearest neighbours (Å) after each atom.
Space group F-43m (No. 216)
Inequivalent atoms, fractional coordinates:
Mn 0.0000 0.0000 0.0000 x4  12 Re 3.06, 4 Cd 3.20
Cd 0.2500 0.2500 0.2500 x4  12 Re 3.06, 4 Mn 3.20
Re 0.1253 0.1253 0.6253 x16  6 Re 2.61-2.62

Calculated values
- Fermi-level density of states (states/eV per atom) = 0.70
- calculated volume (Å³/atom) = 16.81
- total energy (Ha/atom) = -0.3472

3.
DFT (PBE) results for a geometry-optimized Sc6Co2As structure.

a b c (Å): 8.7032 8.7150 9.1876
angles (deg): 90.00 90.00 90.00
With the nearest neighbours (Å) after each atom.
Space group Immm (No. 71)
Inequivalent atoms, fractional coordinates:
Sc 0.0000 0.2013 0.2375 x8  1 Co 2.49
Sc 0.1896 0.5000 0.1737 x8  3 Co 2.51-2.69
Sc 0.2212 0.3175 0.5000 x8  3 Co 2.73-2.79, 1 As 2.90
Co 0.0000 0.3401 0.0000 x4  8 Sc 2.49-2.79, 1 Co 2.79
Co 0.0000 0.5000 0.3789 x4  1 Co 2.22
As 0.0000 0.0000 0.0000 x2  8 Sc 2.80-2.90, 2 Co 2.96
As 0.0000 0.0000 0.5000 x2  8 Sc 2.98-3.14

Calculated values
- Fermi-level density of states (states/eV per atom) = 0.69
- calculated volume (Å³/atom) = 19.36
- total energy (Ha/atom) = -0.2495

4.
DFT (PBE) results for a geometry-optimized Nd3Zn9Ni2 structure.

a b c (Å): 4.3228 9.1695 12.8753
angles (deg): 90.00 90.00 90.00
With the nearest neighbours (Å) after each atom.
Space group Immm (No. 71)
Inequivalent atoms, fractional coordinates:
Nd 0.0000 0.0000 0.0000 x2  12 Zn 3.04-3.29
Nd 0.0000 0.0000 0.3085 x4  12 Zn 3.07-3.28, 2 Ni 3.08
Zn 0.0000 0.2834 0.1220 x8  3 Zn 2.53-2.56, 2 Ni 2.68
Zn 0.0000 0.3557 0.3369 x8  1 Ni 2.53, 3 Zn 2.56-2.65
Zn 0.0000 0.5000 0.0000 x2  4 Zn 2.53
Ni 0.0000 0.2016 0.5000 x4  6 Zn 2.53-2.68

Calculated values
- Fermi-level density of states (states/eV per atom) = 0.58
- calculated volume (Å³/atom) = 18.23
- total energy (Ha/atom) = -0.1097

5.
DFT (PBE) results for a geometry-optimized USi2Tc2Pt structure.

a b c (Å): 4.1245 7.0586 6.7010
angles (deg): 90.00 90.00 90.00
With the nearest neighbours (Å) after each atom.
Space group Pmc2_1 (No. 26)
Inequivalent atoms, fractional coordinates:
U 0.0000 0.1135 0.0000 x2  4 Tc 2.82-3.04, 5 Si 2.90-3.03, 2 Pt 3.05
Si 0.0000 0.4136 0.7037 x2  2 Tc 2.31-2.37, 2 Pt 2.58
Si 0.5000 0.1383 0.3028 x2  3 Tc 2.40-2.51, 2 Pt 2.51-2.53
Tc 0.0000 0.2998 0.3716 x2  4 Si 2.31-2.40
Tc 0.5000 0.4065 0.0562 x2  3 Si 2.51-2.62
Pt 0.5000 0.1965 0.6760 x2  4 Si 2.51-2.58

Calculated values
- Fermi-level density of states (states/eV per atom) = 0.94
- formation energy from raw total energies (meV/atom) = -470
- calculated volume (Å³/atom) = 16.26
- total energy (Ha/atom) = -0.3168

6.
DFT (PBE) results for a geometry-optimized SbP4O12 structure.

a b c (Å): 17.8652 12.9061 5.5393
angles (deg): 90.00 106.13 90.00
With the nearest neighbours (Å) after each atom.
Space group C2/m (No. 12)
Inequivalent atoms, fractional coordinates:
Sb 0.2500 0.2500 0.0000 x4  6 O 2.10-2.16
P 0.0821 0.2243 0.1404 x8  3 O 1.46-1.62
P 0.1922 0.3839 0.4385 x8  4 O 1.52-1.60
O 0.0000 0.2785 0.0000 x4  2 P 1.62
O 0.0790 0.1280 0.2746 x8  1 P 1.46
O 0.1145 0.3216 0.3412 x8  2 P 1.57-1.67
O 0.1295 0.2337 0.9443 x8  1 P 1.56
O 0.1602 0.5000 0.3813 x4  2 P 1.60
O 0.2259 0.3719 0.7209 x8  1 P 1.52
O 0.2495 0.1390 0.7103 x8  1 P 1.53

Calculated values
- Fermi-level density of states (states/eV per atom) = 0.15
- energy relative to the lowest polymorph listed for this composition (kJ per mole of atoms) = 2.45
- formation energy from raw total energies (meV/atom) = -1860
- calculated volume (Å³/atom) = 18.04
- total energy (Ha/atom) = -0.2527

7.
DFT (PBE) results for a geometry-optimized CeTmZnAg structure.

a b c (Å): 3.5463 3.5463 7.4957
angles (deg): 90.00 90.00 90.00
With the nearest neighbours (Å) after each atom.
Space group P4mm (No. 99)
Inequivalent atoms, fractional coordinates:
Ce 0.0000 0.0000 0.0000 x1  4 Zn 3.16, 4 Ag 3.30
Tm 0.0000 0.0000 0.4830 x1  4 Zn 3.03, 4 Ag 3.04
Zn 0.5000 0.5000 0.2565 x1  4 Tm 3.03, 4 Ce 3.16
Ag 0.5000 0.5000 0.7129 x1  4 Tm 3.04, 4 Ce 3.30

Calculated values
- Fermi-level density of states (states/eV per atom) = 1.97
- energy relative to the lowest polymorph listed for this composition (kJ per mole of atoms) = 0.00
- calculated volume (Å³/atom) = 23.57
- total energy (Ha/atom) = -0.1420

8.
DFT (PBE) results for a geometry-optimized Zr6TcOs5 structure.

a b c (Å): 14.6925 6.5686 4.6500
angles (deg): 90.00 108.29 90.00
With the nearest neighbours (Å) after each atom.
Space group C2/m (No. 12)
Inequivalent atoms, fractional coordinates:
Zr 0.0000 0.2488 0.0000 x4  2 Tc 2.84, 6 Os 2.85
Zr 0.1660 0.2494 0.6660 x8  1 Tc 2.84, 7 Os 2.84-2.85
Tc 0.0000 0.0000 0.5000 x2  8 Zr 2.84
Os 0.0000 0.5000 0.5000 x2  8 Zr 2.84-2.85
Os 0.1672 0.0000 0.1671 x4  8 Zr 2.84-2.85
Os 0.1666 0.5000 0.1666 x4  8 Zr 2.85

Calculated values
- Fermi-level density of states (states/eV per atom) = 0.30
- calculated volume (Å³/atom) = 17.75
- total energy (Ha/atom) = -0.3800

9.
DFT (PBE) results for a geometry-optimized Sc2MnTc structure.

a b c (Å): 3.9370 3.9370 9.1318
angles (deg): 90.00 90.00 90.00
With the nearest neighbours (Å) after each atom.
Space group I-4m2 (No. 119)
Inequivalent atoms, fractional coordinates:
Sc 0.0000 0.0000 0.0000 x2  4 Mn 2.78, 4 Tc 3.01, 4 Sc 3.01
Sc 0.0000 0.5000 0.2500 x2  4 Tc 2.78, 4 Mn 3.01, 4 Sc 3.01
Mn 0.0000 0.0000 0.5000 x2  8 Sc 2.78-3.01, 4 Tc 3.01
Tc 0.0000 0.5000 0.7500 x2  8 Sc 2.78-3.01, 4 Mn 3.01

Calculated values
- Fermi-level density of states (states/eV per atom) = 1.30
- calculated volume (Å³/atom) = 17.69
- total energy (Ha/atom) = -0.2925

10.
DFT (PBE) results for a geometry-optimized Tb2TmCo2 structure.

a b c (Å): 10.9728 3.8874 6.0321
angles (deg): 90.00 121.76 90.00
With the nearest neighbours (Å) after each atom.
Space group C2/m (No. 12)
Inequivalent atoms, fractional coordinates:
Tb 0.1940 0.0000 0.1874 x4  4 Co 2.80-2.98
Tm 0.0000 0.0000 0.5000 x2  4 Co 2.70
Co 0.0157 0.5000 0.8260 x4  1 Co 2.30

Calculated values
- Fermi-level density of states (states/eV per atom) = 0.87
- energy relative to the lowest polymorph listed for this composition (kJ per mole of atoms) = 0.00
- calculated volume (Å³/atom) = 21.88
- total energy (Ha/atom) = -0.2114

11.
DFT (PBE) results for a geometry-optimized BaNa2SiPt structure.

a b c (Å): 5.4956 5.4956 4.6434
angles (deg): 90.00 90.00 90.00
With the nearest neighbours (Å) after each atom.
Space group P4/mmm (No. 123)
Inequivalent atoms, fractional coordinates:
Ba 0.0000 0.0000 0.0000 x1  8 Na 3.60, 4 Si 3.89
Na 0.0000 0.5000 0.5000 x2  2 Pt 2.75
Si 0.5000 0.5000 0.0000 x1  2 Pt 2.32
Pt 0.5000 0.5000 0.5000 x1  2 Si 2.32

Calculated values
- Fermi-level density of states (states/eV per atom) = 0.26
- formation energy from raw total energies (meV/atom) = -258
- calculated volume (Å³/atom) = 28.05
- total energy (Ha/atom) = -0.1272

12.
DFT (PBE) results for a geometry-optimized Ce5Sn2Os structure.

a b c (Å): 7.8880 12.2707 4.6796
angles (deg): 90.00 90.00 90.00
With the nearest neighbours (Å) after each atom.
Space group Pbam (No. 55)
Inequivalent atoms, fractional coordinates:
Ce 0.0000 0.0000 0.0000 x2  4 Sn 3.24, 4 Ce 3.41
Ce 0.1314 0.2986 0.0000 x4  1 Os 2.68
Ce 0.1999 0.5607 0.5000 x4  2 Os 2.92
Sn 0.0843 0.8252 0.5000 x4  9 Ce 3.24-3.37
Os 0.0000 0.5000 0.0000 x2  6 Ce 2.68-2.92

Calculated values
- Fermi-level density of states (states/eV per atom) = 3.11
- energy relative to the lowest polymorph listed for this composition (kJ per mole of atoms) = 0.00
- calculated volume (Å³/atom) = 28.31
- total energy (Ha/atom) = -0.2410

13.
DFT (PBE) results for a geometry-optimized Cd2MoOs structure.

a b c (Å): 2.8706 2.8706 29.0781
angles (deg): 90.00 90.00 120.00
With the nearest neighbours (Å) after each atom.
Space group R-3m (No. 166, hexagonal axes)
Inequivalent atoms, fractional coordinates:
Cd 0.0000 0.0000 0.2483 x6  6 Cd 2.87, 3 Os 2.89, 3 Mo 2.98
Mo 0.0000 0.0000 0.0000 x3  6 Mo 2.87, 6 Cd 2.98
Os 0.0000 0.0000 0.5000 x3  6 Os 2.87, 6 Cd 2.89

Calculated values
- Fermi-level density of states (states/eV per atom) = 1.23
- energy relative to the lowest polymorph listed for this composition (kJ per mole of atoms) = 42.39
- calculated volume (Å³/atom) = 17.29
- total energy (Ha/atom) = -0.1964

14.
DFT (PBE) results for a geometry-optimized NaHfSc structure.

a b c (Å): 5.2866 5.6918 9.9297
angles (deg): 90.00 90.00 90.00
With the nearest neighbours (Å) after each atom.
Space group Pnma (No. 62)
Inequivalent atoms, fractional coordinates:
Na 0.1799 0.2500 0.1659 x4  5 Sc 3.11-3.39, 2 Na 3.13, 4 Hf 3.31-3.36
Hf 0.1563 0.2500 0.8110 x4  2 Hf 2.91, 2 Sc 3.02-3.14
Sc 0.1698 0.2500 0.5068 x4  3 Hf 3.02-3.26, 4 Na 3.11-3.35, 2 Sc 3.37

Calculated values
- Fermi-level density of states (states/eV per atom) = 1.06
- energy relative to the lowest polymorph listed for this composition (kJ per mole of atoms) = 36.17
- calculated volume (Å³/atom) = 24.90
- total energy (Ha/atom) = -0.1960

15.
DFT (PBE) results for a geometry-optimized CePr3Ir structure.

a b c (Å): 5.6763 5.6763 5.6763
angles (deg): 90.00 90.00 90.00
With the nearest neighbours (Å) after each atom.
Space group Pm-3m (No. 221)
Inequivalent atoms, fractional coordinates:
Ce 0.0000 0.0000 0.0000 x1  12 Pr 4.01
Pr 0.0000 0.5000 0.5000 x3  2 Ir 2.84
Ir 0.5000 0.5000 0.5000 x1  6 Pr 2.84

Calculated values
- Fermi-level density of states (states/eV per atom) = 2.38
- calculated volume (Å³/atom) = 36.58
- total energy (Ha/atom) = -0.2159

16.
DFT (PBE) results for a geometry-optimized YAsSe3 structure.

a b c (Å): 7.0488 7.0488 19.8842
angles (deg): 90.00 90.00 120.00
With the nearest neighbours (Å) after each atom.
Space group R-3 (No. 148, hexagonal axes)
Inequivalent atoms, fractional coordinates:
Y 0.0000 0.0000 0.1429 x6  6 Se 2.87-2.93
As 0.0000 0.0000 0.3117 x6  3 Se 2.50
Se 0.0167 0.6318 0.9116 x18  1 As 2.50

Calculated values
- energy relative to the lowest polymorph listed for this composition (kJ per mole of atoms) = 0.00
- formation energy from raw total energies (meV/atom) = -910
- calculated volume (Å³/atom) = 28.52
- total energy (Ha/atom) = -0.1920

17.
DFT (PBE) results for a geometry-optimized LiLaSi2 structure.

a b c (Å): 3.1043 3.1043 29.1863
angles (deg): 90.00 90.00 120.00
With the nearest neighbours (Å) after each atom.
Space group R-3m (No. 166, hexagonal axes)
Inequivalent atoms, fractional coordinates:
Li 0.0000 0.0000 0.0000 x3  6 Si 2.81, 6 Li 3.10
La 0.0000 0.0000 0.5000 x3  6 La 3.10, 6 Si 3.24
Si 0.0000 0.0000 0.2593 x6  3 Li 2.81, 6 Si 3.10

Calculated values
- Fermi-level density of states (states/eV per atom) = 0.52
- energy relative to the lowest polymorph listed for this composition (kJ per mole of atoms) = 74.24
- formation energy from raw total energies (meV/atom) = 146
- calculated volume (Å³/atom) = 20.30
- total energy (Ha/atom) = -0.1571

18.
DFT (PBE) results for a geometry-optimized Sc6NbIn5 structure.

a b c (Å): 5.0115 15.0425 7.0403
angles (deg): 90.00 90.00 90.00
With the nearest neighbours (Å) after each atom.
Space group Cmmm (No. 65)
Inequivalent atoms, fractional coordinates:
Sc 0.0000 0.0000 0.2440 x4  6 In 2.93-3.13, 2 Nb 3.04
Sc 0.0000 0.3365 0.2390 x8  1 Nb 2.98, 7 In 3.02-3.17
Nb 0.0000 0.5000 0.0000 x2  8 Sc 2.98-3.04
In 0.0000 0.1578 0.0000 x4  8 Sc 2.93-3.17
In 0.0000 0.1699 0.5000 x4  8 Sc 3.11-3.13, 2 In 3.48
In 0.0000 0.5000 0.5000 x2  8 Sc 3.07-3.09

Calculated values
- Fermi-level density of states (states/eV per atom) = 0.89
- calculated volume (Å³/atom) = 22.11
- total energy (Ha/atom) = -0.2029

19.
DFT (PBE) results for a geometry-optimized Ca4Ta3TiN8 structure.

a b c (Å): 6.3455 6.3455 16.6649
angles (deg): 90.00 90.00 120.00
With the nearest neighbours (Å) after each atom.
Space group R-3m (No. 166, hexagonal axes)
Inequivalent atoms, fractional coordinates:
Ca 0.0000 0.0000 0.0000 x3  6 N 2.43
Ca 0.0000 0.5000 0.0000 x9  6 N 2.43-2.44
Ta 0.0000 0.5000 0.5000 x9  6 N 2.17-2.18
Ti 0.0000 0.0000 0.5000 x3  6 N 2.18
N 0.0000 0.0000 0.2377 x6  3 Ta 2.18, 3 Ca 2.43
N 0.0019 0.5010 0.7634 x18  2 Ta 2.17, 1 Ti 2.18

Calculated values
- Fermi-level density of states (states/eV per atom) = 0.33
- formation energy from raw total energies (meV/atom) = -1292
- calculated volume (Å³/atom) = 12.11
- total energy (Ha/atom) = -0.3186

20.
DFT (PBE) results for a geometry-optimized TaAlAu2 structure.

a b c (Å): 4.1306 4.1306 8.1220
angles (deg): 90.00 90.00 90.00
With the nearest neighbours (Å) after each atom.
Space group I4/mmm (No. 139)
Inequivalent atoms, fractional coordinates:
Ta 0.0000 0.0000 0.0000 x2  8 Au 2.90, 4 Al 2.92
Al 0.0000 0.0000 0.5000 x2  8 Au 2.90, 4 Ta 2.92
Au 0.0000 0.5000 0.2500 x4  4 Ta 2.90, 4 Al 2.90, 4 Au 2.92

Calculated values
- Fermi-level density of states (states/eV per atom) = 0.54
- calculated volume (Å³/atom) = 17.32
- total energy (Ha/atom) = -0.2051